[1]
A plane-wave DFT calculation with GGA-PBE was carried out for a geometry-optimized PmSi2Au4 structure.

Output
Raw formation energy: -0.472 eV/atom
Magnetic moment: 0.000 μB/atom

Cell lengths 7.1999, 7.1999, 4.4150 Å; angles 90.00, 90.00, 144.47 degrees
Closest atoms and distances in Å follow each position.
Element x y z (fractional)
Pm 0.0000 0.0000 0.0000  8 Au 3.24, 8 Si 3.33
Si 0.4138 0.5862 0.5000  1 Si 2.37, 4 Au 2.50-2.51
Si 0.5862 0.4138 0.5000  1 Si 2.37, 4 Au 2.50-2.51
Au 0.1733 0.8267 0.5000  2 Si 2.50
Au 0.3266 0.6734 0.0000  2 Si 2.51
Au 0.6734 0.3266 0.0000  2 Si 2.51
Au 0.8267 0.1733 0.5000  2 Si 2.50



[2]
A plane-wave DFT calculation with GGA-PBE was carried out for a geometry-optimized PmSiAu3 structure.

Output
E above lowest polymorph: 0.0 meV per atom
Raw formation energy: -0.572 eV/atom
Magnetic moment: 0.000 μB/atom

Cell lengths 4.4456, 4.4456, 6.0934 Å; angles 111.20, 111.20, 89.87 degrees
Closest atoms and distances in Å follow each position.
Element x y z (fractional)
Pm 0.0000 0.0000 0.0000  12 Au 3.28-3.55, 4 Si 3.44-3.46
Si 0.3685 0.3685 0.7312  5 Au 2.36-2.47
Au 0.2602 0.7657 0.5242  2 Si 2.47
Au 0.5905 0.5905 0.1818  1 Si 2.36
Au 0.7657 0.2602 0.5242  2 Si 2.47



[3]
A plane-wave DFT calculation with GGA-PBE was carried out for a geometry-optimized PmSi2Sn2Au7 structure.

Output
Raw formation energy: -0.201 eV/atom
Magnetic moment: 0.000 μB/atom

Cell lengths 4.7214, 4.7214, 12.0342 Å; angles 90.99, 90.99, 95.39 degrees
Closest atoms and distances in Å follow each position.
Element x y z (fractional)
Pm 0.0000 0.0000 0.0000  12 Au 3.18-3.49
Si 0.3602 0.3602 0.7751  5 Au 2.40-2.60
Si 0.6398 0.6398 0.2249  5 Au 2.40-2.60
Sn 0.1114 0.1114 0.3685  4 Au 2.79-3.01
Sn 0.8886 0.8886 0.6315  4 Au 2.79-3.01
Au 0.1030 0.5123 0.1765  2 Si 2.40-2.60
Au 0.3313 0.3313 0.5726  1 Si 2.44
Au 0.4877 0.8970 0.8235  2 Si 2.40-2.60
Au 0.5000 0.5000 0.0000  2 Si 2.83, 4 Au 2.86
Au 0.5123 0.1030 0.1765  2 Si 2.40-2.60
Au 0.6687 0.6687 0.4274  1 Si 2.44
Au 0.8970 0.4877 0.8235  2 Si 2.40-2.60



[4]
A plane-wave DFT calculation with GGA-PBE was carried out for a geometry-optimized SrPmSiAu structure.

Output
Raw formation energy: -0.561 eV/atom
Magnetic moment: 0.000 μB/atom

Cell lengths 5.2815, 5.2815, 5.2815 Å; angles 60.00, 60.00, 60.00 degrees
Closest atoms and distances in Å follow each position.
Element x y z (fractional)
Sr 0.0000 0.0000 0.0000  4 Si 3.23, 4 Au 3.23
Pm 0.5000 0.5000 0.5000  4 Si 3.23, 4 Au 3.23
Si 0.7500 0.7500 0.7500  4 Pm 3.23, 4 Sr 3.23
Au 0.2500 0.2500 0.2500  4 Pm 3.23, 4 Sr 3.23



[5]
A plane-wave DFT calculation with GGA-PBE was carried out for a geometry-optimized Sr2PmSi3Au12 structure.

Output
Raw formation energy: -0.203 eV/atom
Magnetic moment: 0.000 μB/atom

Cell lengths 8.2780, 8.2780, 8.2780 Å; angles 65.06, 65.06, 65.06 degrees
Closest atoms and distances in Å follow each position.
Element x y z (fractional)
Sr 0.0970 0.0970 0.0970  9 Au 3.15-3.44
Sr 0.9030 0.9030 0.9030  9 Au 3.15-3.44
Pm 0.5000 0.5000 0.5000  6 Au 2.93
Si 0.0000 0.5000 0.5000  6 Au 2.45-2.48
Si 0.5000 0.0000 0.5000  6 Au 2.45-2.48
Si 0.5000 0.5000 0.0000  6 Au 2.45-2.48
Au 0.0932 0.6433 0.6433  1 Si 2.48
Au 0.1873 0.1873 0.6362  2 Si 2.45
Au 0.1873 0.6362 0.1873  2 Si 2.45
Au 0.3567 0.3567 0.9068  1 Si 2.48
Au 0.3567 0.9068 0.3567  1 Si 2.48
Au 0.3638 0.8127 0.8127  2 Si 2.45
Au 0.6362 0.1873 0.1873  2 Si 2.45
Au 0.6433 0.0932 0.6433  1 Si 2.48
Au 0.6433 0.6433 0.0932  1 Si 2.48
Au 0.8127 0.3638 0.8127  2 Si 2.45
Au 0.8127 0.8127 0.3638  2 Si 2.45
Au 0.9068 0.3567 0.3567  1 Si 2.48



[6]
A plane-wave DFT calculation with GGA-PBE was carried out for a geometry-optimized TbPmSi2Au2 structure.

Output
Raw formation energy: -0.819 eV/atom
Magnetic moment: 0.000 μB/atom

Cell lengths 4.3095, 4.3095, 8.0393 Å; angles 90.00, 90.00, 120.00 degrees
Closest atoms and distances in Å follow each position.
Element x y z (fractional)
Tb 0.0000 0.0000 0.0000  6 Au 3.14, 6 Si 3.20
Pm 0.0000 0.0000 0.5000  6 Si 3.20, 6 Au 3.26
Si 0.3333 0.6667 0.2503  3 Au 2.49
Si 0.6667 0.3333 0.7497  3 Au 2.49
Au 0.3333 0.6667 0.7623  3 Si 2.49
Au 0.6667 0.3333 0.2377  3 Si 2.49



[7]
A plane-wave DFT calculation with GGA-PBE was carried out for a geometry-optimized Pm4SiTe2Au structure.

Output
Raw formation energy: -1.083 eV/atom
Magnetic moment: 0.000 μB/atom

Cell lengths 7.5289, 4.3261, 7.6977 Å; angles 90.00, 108.50, 90.00 degrees
Closest atoms and distances in Å follow each position.
Element x y z (fractional)
Pm 0.2328 0.0000 0.2262  2 Si 2.97, 1 Au 3.05, 3 Te 3.14-3.24
Pm 0.2461 0.5000 0.7675  1 Si 2.96, 2 Au 3.06, 3 Te 3.15-3.22
Pm 0.7539 0.5000 0.2325  1 Si 2.96, 2 Au 3.06, 3 Te 3.15-3.22
Pm 0.7672 0.0000 0.7738  2 Si 2.97, 1 Au 3.05, 3 Te 3.14-3.24
Si 0.0000 0.5000 0.0000  6 Pm 2.96-2.97
Te 0.0000 0.0000 0.5000  6 Pm 3.14-3.15
Te 0.5000 0.5000 0.5000  6 Pm 3.22-3.24
Au 0.5000 0.0000 0.0000  6 Pm 3.05-3.06



[8]
A plane-wave DFT calculation with GGA-PBE was carried out for a geometry-optimized PmThSiAu structure.

Output
Raw formation energy: -0.526 eV/atom
Magnetic moment: 0.000 μB/atom

Cell lengths 5.1959, 5.1959, 5.1959 Å; angles 60.00, 60.00, 60.00 degrees
Closest atoms and distances in Å follow each position.
Element x y z (fractional)
Pm 0.0000 0.0000 0.0000  4 Si 3.18, 4 Au 3.18
Th 0.5000 0.5000 0.5000  4 Si 3.18, 4 Au 3.18
Si 0.7500 0.7500 0.7500  4 Th 3.18, 4 Pm 3.18
Au 0.2500 0.2500 0.2500  4 Th 3.18, 4 Pm 3.18



[9]
A plane-wave DFT calculation with GGA-PBE was carried out for a geometry-optimized PmTl2Si2Au7 structure.

Output
Raw formation energy: -0.234 eV/atom
Magnetic moment: 0.000 μB/atom

Cell lengths 4.8313, 4.8313, 11.9600 Å; angles 96.76, 96.76, 90.00 degrees
Closest atoms and distances in Å follow each position.
Element x y z (fractional)
Pm 0.0000 0.0000 0.0000  12 Au 3.17-3.42
Tl 0.1152 0.1152 0.3883  2 Au 3.02-3.10, 1 Tl 3.32, 1 Si 3.35
Tl 0.8848 0.8848 0.6117  2 Au 3.02-3.10, 1 Tl 3.32, 1 Si 3.35
Si 0.3248 0.3248 0.7841  6 Au 2.39-2.66
Si 0.6752 0.6752 0.2159  6 Au 2.39-2.66
Au 0.1342 0.5552 0.1725  2 Si 2.39-2.65
Au 0.4400 0.4400 0.6023  1 Si 2.43, 1 Au 2.71
Au 0.4448 0.8658 0.8275  2 Si 2.39-2.65
Au 0.5000 0.5000 0.0000  2 Si 2.66, 4 Au 2.86
Au 0.5552 0.1342 0.1725  2 Si 2.39-2.65
Au 0.5600 0.5600 0.3977  1 Si 2.43, 1 Au 2.71
Au 0.8658 0.4448 0.8275  2 Si 2.39-2.65



[10]
A plane-wave DFT calculation with GGA-PBE was carried out for a geometry-optimized PmTmSiAu structure.

Output
Raw formation energy: -0.632 eV/atom
Magnetic moment: 0.101 μB/atom

Cell lengths 5.0841, 5.0841, 5.0841 Å; angles 60.00, 60.00, 60.00 degrees
Closest atoms and distances in Å follow each position.
Element x y z (fractional)
Pm 0.0000 0.0000 0.0000  4 Si 3.11, 4 Au 3.11
Tm 0.5000 0.5000 0.5000  4 Si 3.11, 4 Au 3.11
Si 0.2500 0.2500 0.2500  4 Tm 3.11, 4 Pm 3.11
Au 0.7500 0.7500 0.7500  4 Pm 3.11, 4 Tm 3.11



[11]
A plane-wave DFT calculation with GGA-PBE was carried out for a geometry-optimized PmYSiAu structure.

Output
Raw formation energy: -0.650 eV/atom
Magnetic moment: 0.139 μB/atom

Cell lengths 5.1197, 5.1197, 5.1197 Å; angles 60.00, 60.00, 60.00 degrees
Closest atoms and distances in Å follow each position.
Element x y z (fractional)
Pm 0.0000 0.0000 0.0000  4 Au 3.14, 4 Si 3.14
Y 0.5000 0.5000 0.5000  4 Au 3.14, 4 Si 3.14
Si 0.2500 0.2500 0.2500  4 Pm 3.14, 4 Y 3.14
Au 0.7500 0.7500 0.7500  4 Pm 3.14, 4 Y 3.14



[12]
A plane-wave DFT calculation with GGA-PBE was carried out for a geometry-optimized Pm2ZnSi3Au4 structure.

Output
Raw formation energy: -0.599 eV/atom
Magnetic moment: 0.000 μB/atom

Cell lengths 4.2833, 4.2833, 10.6231 Å; angles 90.00, 90.00, 90.00 degrees
Closest atoms and distances in Å follow each position.
Element x y z (fractional)
Pm 0.0000 0.5000 0.2428  6 Si 3.23-3.47, 8 Au 3.30-3.35, 2 Zn 3.47
Pm 0.5000 0.0000 0.7572  6 Si 3.23-3.47, 8 Au 3.30-3.35, 2 Zn 3.47
Zn 0.0000 0.0000 0.5000  4 Au 2.58
Si 0.0000 0.5000 0.8632  5 Au 2.42-2.59
Si 0.5000 0.0000 0.1368  5 Au 2.42-2.59
Si 0.5000 0.5000 0.5000  4 Au 2.58
Au 0.0000 0.0000 0.0000  4 Si 2.59
Au 0.0000 0.5000 0.6349  3 Si 2.42-2.58, 2 Zn 2.58
Au 0.5000 0.0000 0.3651  3 Si 2.42-2.58, 2 Zn 2.58
Au 0.5000 0.5000 0.0000  4 Si 2.59